[1]
The following is a PBE calculation of a geometry-optimized CsPrSn2I8 structure, from Alexandria.

As for the formation energy without anion corrections: -0.933 eV/atom. For the total magnetic moment, the calculation gives 0.0000 μB/atom. Its final energy is -37.2 eV per formula unit.

a b c (Å): 7.9560 7.4986 10.3642
angles (deg): 84.22 83.58 86.99
Element x y z (fractional)
I  0.3297  0.2337  0.9795
I  0.8486  0.2657  0.7829
I  0.1641  0.7480  0.7910
I  0.1514  0.7343  0.2171
I  0.8359  0.2520  0.2090
I  0.3919  0.2614  0.5456
I  0.6081  0.7386  0.4544
I  0.6703  0.7663  0.0205
Cs  0.0000  0.0000  0.5000
Sn  0.5123  0.5233  0.2546
Sn  0.4877  0.4767  0.7454
Pr  0.0000  0.0000  0.0000



[2]
The following is a PBE calculation of a geometry-optimized Cs2SrPrI6 structure, from Alexandria.

As for the formation energy without anion corrections: -1.446 eV/atom. For the total magnetic moment, the calculation gives 0.1019 μB/atom. Its final energy is -31.9 eV per formula unit.

a b c (Å): 8.9939 9.1280 12.8166
angles (deg): 90.00 90.00 90.00
Element x y z (fractional)
Sr  0.0000  0.7396  0.5000
Sr  0.5000  0.2604  0.0000
I  0.2539  0.5174  0.0000
I  0.7461  0.5174  0.0000
I  0.5000  0.2403  0.7479
I  0.2478  0.0065  0.0000
I  0.2522  0.9935  0.5000
I  0.0000  0.7597  0.7521
I  0.5000  0.2403  0.2521
I  0.7539  0.4826  0.5000
I  0.2461  0.4826  0.5000
I  0.7522  0.0065  0.0000
I  0.0000  0.7597  0.2479
I  0.7478  0.9935  0.5000
Cs  0.5000  0.7722  0.2306
Cs  0.5000  0.7722  0.7694
Cs  0.0000  0.2278  0.7306
Cs  0.0000  0.2278  0.2694
Pr  0.0000  0.7582  0.0000
Pr  0.5000  0.2418  0.5000



[3]
The following is a PBE calculation of a geometry-optimized CsPrTeI structure, from Alexandria.

As for the formation energy without anion corrections: -1.247 eV/atom. For the total magnetic moment, the calculation gives 0.0000 μB/atom. Its final energy is -15.3 eV per formula unit.

a b c (Å): 4.5915 4.5950 9.6980
angles (deg): 89.98 103.76 119.96
Element x y z (fractional)
Cs  0.4844  0.1401  0.6410
Te  0.3322  0.5638  0.9112
Pr  0.1234  0.9598  0.0978
I  0.9379  0.3671  0.3198



[4]
The following is a PBE calculation of a geometry-optimized Cs2PrTlI6 structure, from Alexandria.

As for the formation energy without anion corrections: -1.324 eV/atom. For the total magnetic moment, the calculation gives 0.0000 μB/atom. Its final energy is -31.4 eV per formula unit.

a b c (Å): 8.9425 9.6367 13.0406
angles (deg): 90.00 90.00 90.00
Element x y z (fractional)
Tl  0.0000  0.7147  0.5000
Tl  0.5000  0.2853  0.0000
I  0.7599  0.4360  0.5000
I  0.5000  0.2134  0.2592
I  0.2572  0.9818  0.5000
I  0.2401  0.4360  0.5000
I  0.0000  0.7866  0.7592
I  0.5000  0.2134  0.7408
I  0.0000  0.7866  0.2408
I  0.2599  0.5640  0.0000
I  0.7572  0.0182  0.0000
I  0.7428  0.9818  0.5000
I  0.2428  0.0182  0.0000
I  0.7401  0.5640  0.0000
Pr  0.5000  0.2202  0.5000
Pr  0.0000  0.7798  0.0000
Cs  0.5000  0.8059  0.2114
Cs  0.0000  0.1941  0.7114
Cs  0.5000  0.8059  0.7886
Cs  0.0000  0.1941  0.2886



[5]
The following is a PBE calculation of a geometry-optimized CsPrZnI6 structure, from Alexandria.

As for the formation energy without anion corrections: -1.113 eV/atom. For the total magnetic moment, the calculation gives 0.0000 μB/atom. Its final energy is -26.2 eV per formula unit.

a b c (Å): 7.8579 7.8580 8.6896
angles (deg): 90.02 89.98 59.96
Element x y z (fractional)
I  0.6170  0.3587  0.6992
I  0.3586  0.0245  0.6993
I  0.0243  0.6171  0.6990
I  0.6171  0.0243  0.3010
I  0.0245  0.3586  0.3006
I  0.3586  0.6170  0.3008
Zn  0.3333  0.3334  0.5000
Cs  0.0000  0.0000  0.0000
Pr  0.6665  0.6665  0.5000



[6]
The following is a PBE calculation of a geometry-optimized Cs2PtI4 structure, from Alexandria.

As for the formation energy without anion corrections: -0.916 eV/atom. For the total magnetic moment, the calculation gives 0.0000 μB/atom. Its final energy is -20.4 eV per formula unit.

a b c (Å): 5.8267 5.8267 10.1055
angles (deg): 73.24 73.24 90.00
Element x y z (fractional)
Pt  0.0000  0.0000  0.0000
Cs  0.6380  0.6380  0.7240
Cs  0.3620  0.3620  0.2760
I  0.1460  0.1460  0.7080
I  0.8540  0.8540  0.2920
I  0.5000  0.0000  0.0000
I  0.0000  0.5000  0.0000



[7]
The following is a PBE calculation of a geometry-optimized CsPt3I structure, from Alexandria.

As for the formation energy without anion corrections: 0.619 eV/atom. The offset from the most stable computed form is 0.0 meV per atom. For the total magnetic moment, the calculation gives 0.0000 μB/atom. Its final energy is -17.4 eV per formula unit.

a b c (Å): 5.1709 5.1709 5.1709
angles (deg): 90.00 90.00 90.00
Element x y z (fractional)
I  0.0000  0.0000  0.0000
Pt  0.5000  0.0000  0.0000
Pt  0.0000  0.5000  0.0000
Pt  0.0000  0.0000  0.5000
Cs  0.5000  0.5000  0.5000



[8]
The following is a PBE calculation of a geometry-optimized Cs3PtI6 structure, from Alexandria.

As for the formation energy without anion corrections: -0.887 eV/atom. The offset from the most stable computed form is 19.8 meV per atom. For the total magnetic moment, the calculation gives 0.0739 μB/atom. Its final energy is -26.8 eV per formula unit.

a b c (Å): 9.0183 9.0183 8.9578
angles (deg): 59.78 59.78 90.00
Element x y z (fractional)
I  0.2155  0.2155  0.5690
I  0.7813  0.2187  0.0000
I  0.7845  0.7845  0.4310
I  0.2187  0.7813  0.0000
I  0.2187  0.2187  0.0000
I  0.7813  0.7813  0.0000
Pt  0.0000  0.0000  0.0000
Cs  0.5000  0.5000  0.0000
Cs  0.2500  0.7500  0.5000
Cs  0.7500  0.2500  0.5000